(1)
# ZrZn2Re, optimized geometry, DFT PBE
data_ZrZn2Re
_cell_length_a 9.9541
_cell_length_b 2.7310
_cell_length_c 4.9561
_cell_angle_alpha 90.00
_cell_angle_beta 106.26
_cell_angle_gamma 90.00
_symmetry_space_group_name_H-M 'C 1 m 1'
_symmetry_Int_Tables_number 8
_symmetry_space_group_name_Hall 'C -2y'
loop_
_atom_site_label
_atom_site_fract_x
_atom_site_fract_y
_atom_site_fract_z
_atom_site_occupancy
Zr1 0.0000 0.0000 0.0000 1
Zn1 0.0182 0.5000 0.5032 1
Zn2 0.2385 0.0000 0.7726 1
Re1 0.2731 0.5000 0.3005 1
# D(E_F) (states/eV/atom): 0.6171
# Calculated volume (Å³/atom): 16.168
# DFT formation energy (kcal/mol of atoms): 2.3
# ΔE to the lowest computed polymorph (eV per atom): 0.185
# Calculated total energy (eV/atom): -5.785

---

(2)
# ZrZn2Re, optimized geometry, DFT PBE
data_ZrZn2Re
_cell_length_a 3.4985
_cell_length_b 4.4217
_cell_length_c 8.4240
_cell_angle_alpha 90.00
_cell_angle_beta 90.00
_cell_angle_gamma 90.00
_symmetry_space_group_name_H-M 'I m m 2'
_symmetry_Int_Tables_number 44
_symmetry_space_group_name_Hall 'I 2 -2'
loop_
_atom_site_label
_atom_site_fract_x
_atom_site_fract_y
_atom_site_fract_z
_atom_site_occupancy
Zr1 0.0000 0.0000 0.0000 1
Zn1 0.0000 0.0000 0.5143 1
Zn2 0.0000 0.5000 0.2355 1
Re1 0.0000 0.5000 0.7636 1
# D(E_F) (states/eV/atom): 0.6354
# Calculated volume (Å³/atom): 16.289
# DFT formation energy (kcal/mol of atoms): 0.7
# ΔE to the lowest computed polymorph (eV per atom): 0.114
# Calculated total energy (eV/atom): -5.856